i | Hf2FeOs: relaxed, GGA-PBE.

a b c (Å): 5.755 5.755 5.755
angles (deg): 104.17 104.17 120.70
Sites, in units of the cell vectors:
Hf 0.118 0.625 0.993
Hf 0.375 0.368 0.493
Hf 0.632 0.125 0.007
Hf 0.875 0.882 0.507
Fe 0.000 0.000 0.000
Fe 0.750 0.250 0.500
Os 0.250 0.750 0.500
Os 0.500 0.500 0.000

Values from the calculation:
The calculation puts the calculated volume at 17.8 Å³/atom. The space-group type is I-42d.


ii | Hf2FeOs: relaxed, GGA-PBE.

a b c (Å): 4.534 4.534 4.534
angles (deg): 60.00 60.00 60.00
Sites, in units of the cell vectors:
Hf 0.250 0.250 0.250
Hf 0.750 0.750 0.750
Fe 0.000 0.000 0.000
Os 0.500 0.500 0.500

Values from the calculation:
The calculation puts the calculated volume at 16.5 Å³/atom. The space-group type is Fm-3m.


Relative energies, meV per atom: i 789; ii 0.